(1)
! CePd3Pb PBE relaxed; values from VASP
! Crystal system: orthorhombic
! Magnetization (μB per formula unit): 0.527
! Space-group type: Pnma
! E_form (meV/atom): -491
! Electronic total energy (Ha/atom): -0.203
&SYSTEM
  ibrav = 0, nat = 20, ntyp = 3
/
ATOMIC_SPECIES
Ce 140.12 Ce.upf
Pd 106.42 Pd.upf
Pb 207.20 Pb.upf
CELL_PARAMETERS angstrom
8.7652 0.0000 0.0000
0.0000 6.3110 0.0000
0.0000 0.0000 7.6943
ATOMIC_POSITIONS crystal
Ce 0.3979 0.5220 0.7500
Ce 0.1021 0.0220 0.2500
Ce 0.6021 0.4780 0.2500
Ce 0.8979 0.9780 0.7500
Pd 0.7898 0.1706 0.0691
Pd 0.7102 0.6706 0.5691
Pd 0.7102 0.6706 0.9309
Pd 0.2102 0.8294 0.5691
Pd 0.2102 0.8294 0.9309
Pd 0.2898 0.3294 0.4309
Pd 0.2898 0.3294 0.0691
Pd 0.7898 0.1706 0.4309
Pd 0.1602 0.2015 0.7500
Pd 0.3398 0.7015 0.2500
Pd 0.8398 0.7985 0.2500
Pd 0.6602 0.2985 0.7500
Pb 0.0000 0.5000 0.0000
Pb 0.5000 0.0000 0.5000
Pb 0.5000 0.0000 0.0000
Pb 0.0000 0.5000 0.5000

(2)
! CePd15Pb4 PBE relaxed; values from VASP
! Crystal system: tetragonal
! Magnetization (μB per formula unit): 0.156
! Space-group type: P4/mmm
! E_form (meV/atom): -399
! Electronic total energy (Ha/atom): -0.196
&SYSTEM
  ibrav = 0, nat = 20, ntyp = 3
/
ATOMIC_SPECIES
Ce 140.12 Ce.upf
Pd 106.42 Pd.upf
Pb 207.20 Pb.upf
CELL_PARAMETERS angstrom
4.1165 0.0000 0.0000
0.0000 4.1165 0.0000
0.0000 0.0000 20.6245
ATOMIC_POSITIONS crystal
Ce 0.0000 0.0000 0.0000
Pd 0.5000 0.5000 0.0000
Pd 0.5000 0.5000 0.2009
Pd 0.5000 0.5000 0.4002
Pd 0.5000 0.5000 0.5998
Pd 0.5000 0.5000 0.7991
Pd 0.5000 0.0000 0.0994
Pd 0.5000 0.0000 0.3008
Pd 0.5000 0.0000 0.5000
Pd 0.5000 0.0000 0.6992
Pd 0.5000 0.0000 0.9006
Pd 0.0000 0.5000 0.0994
Pd 0.0000 0.5000 0.3008
Pd 0.0000 0.5000 0.5000
Pd 0.0000 0.5000 0.6992
Pd 0.0000 0.5000 0.9006
Pb 0.0000 0.0000 0.2023
Pb 0.0000 0.0000 0.4009
Pb 0.0000 0.0000 0.5991
Pb 0.0000 0.0000 0.7977

(3)
! Ce2Pd9Pb PBE relaxed; values from VASP
! Crystal system: tetragonal
! Magnetization (μB per formula unit): 0.527
! Space-group type: P4/mmm
! E_form (meV/atom): -644
! Electronic total energy (Ha/atom): -0.215
&SYSTEM
  ibrav = 0, nat = 12, ntyp = 3
/
ATOMIC_SPECIES
Ce 140.12 Ce.upf
Pd 106.42 Pd.upf
Pb 207.20 Pb.upf
CELL_PARAMETERS angstrom
-1.4233 3.8976 -0.0634
-3.8096 -1.4051 -0.8565
-2.4653 -0.7031 12.1185
ATOMIC_POSITIONS crystal
Ce 0.0000 0.0000 0.3312
Ce 0.0000 0.0000 0.6688
Pd 0.5000 0.5000 0.0000
Pd 0.5000 0.5000 0.3321
Pd 0.5000 0.5000 0.6679
Pd 0.5000 0.0000 0.1680
Pd 0.5000 0.0000 0.5000
Pd 0.5000 0.0000 0.8320
Pd 0.0000 0.5000 0.1680
Pd 0.0000 0.5000 0.5000
Pd 0.0000 0.5000 0.8320
Pb 0.0000 0.0000 0.0000